Material: CeMg2AgAu4
Method: DFT, GGA-PBE
State: relaxed

Unit cell a=9.1965 b=9.1965 c=9.1965 alpha=29.41 beta=29.41 gamma=29.41
Sites, in units of the cell vectors:
Ce 0.0000 0.0000 0.0000
Mg 0.2341 0.2341 0.2341
Mg 0.7659 0.7659 0.7659
Ag 0.5000 0.5000 0.5000
Au 0.1206 0.1206 0.1206
Au 0.3927 0.3927 0.3927
Au 0.6073 0.6073 0.6073
Au 0.8794 0.8794 0.8794

Results
DOS at the Fermi energy	8.92	states/eV/f.u.
raw total energy	-29.0	eV per cell
SG	R-3m